A plane-wave DFT calculation with PBE with a Hubbard U was carried out for KRb2MnO4 after structural relaxation.

Cell lengths 6.2098, 8.2332, 6.4587 Å; angles 90.00, 90.00, 90.00 degrees
Last column: nearest neighbours and their distance in Å.
Sites, in units of the cell vectors:
K: 0.2500 0.2500 0.2384  4 O 2.59-2.73
K: 0.7500 0.7500 0.7616  4 O 2.59-2.73
Rb: 0.2500 0.0052 0.7253  5 O 2.84-3.03
Rb: 0.2500 0.4948 0.7253  5 O 2.84-3.03
Rb: 0.7500 0.5052 0.2747  5 O 2.84-3.03
Rb: 0.7500 0.9948 0.2747  5 O 2.84-3.03
Mn: 0.2500 0.7500 0.2990  4 O 1.72-1.73
Mn: 0.7500 0.2500 0.7010  4 O 1.72-1.73
O: 0.0283 0.7500 0.4622  1 Mn 1.73
O: 0.2500 0.5750 0.1537  1 Mn 1.72
O: 0.2500 0.9250 0.1537  1 Mn 1.72
O: 0.4717 0.7500 0.4622  1 Mn 1.73
O: 0.5283 0.2500 0.5378  1 Mn 1.73
O: 0.7500 0.0750 0.8463  1 Mn 1.72
O: 0.7500 0.4250 0.8463  1 Mn 1.72
O: 0.9717 0.2500 0.5378  1 Mn 1.73

* total magnetization: 4.0 Bohr magnetons per cell
* crystal system: orthorhombic
* Fermi-level density of states: 0.00 states/eV per cell
* raw total energy: -83.69 eV per cell
* symmetry: Pmmn, No. 59